3
Lattice="3.957 0.000 0.000 -1.979 3.427 0.000 0.000 0.000 4.465" Properties=species:S:1:pos:R:3 comment="YMnRe, relaxed, DFT PBE" relative_energy_mev_per_atom=240 formation_enthalpy_0k_ev_per_atom=0.176 n_ef_per_ev_atom=1.22 e_tot_ev_per_atom=-9.185 pbc="T T T"
Y 1.979 1.142 2.977
Mn 0.000 0.000 0.744
Re 0.000 2.285 0.745

---

4
Lattice="9.398 -0.001 -0.001 8.914 2.976 -0.001 8.914 1.448 2.600" Properties=species:S:1:pos:R:3 comment="Li2CdAg, relaxed, DFT PBE" formation_enthalpy_0k_ev_per_atom=-0.158 n_ef_per_ev_atom=0.20 e_tot_ev_per_atom=-2.056 pbc="T T T"
Cd 20.420 3.317 1.949
Li 27.057 4.396 2.583
Ag 6.807 1.106 0.650
Li 13.783 2.239 1.316

---

12
Lattice="5.525 0.000 0.000 -2.762 4.784 0.000 0.000 0.000 6.983" Properties=species:S:1:pos:R:3 comment="Ac2PbSeO8, relaxed, DFT PBE" formation_energy_uncorrected_ev_per_atom=-1.584 n_ef_per_ev_atom=0.06 e_tot_ev_per_atom=-6.174 pbc="T T T"
Se 0.000 0.000 0.000
O 0.000 1.494 1.049
O 1.294 0.747 5.934
Ac 2.762 1.595 1.083
O 2.762 3.290 5.934
O 0.000 3.190 3.680
O 1.468 4.037 1.049
O 2.762 1.595 3.303
O -1.468 4.037 1.049
Ac 0.000 3.190 5.901
O 4.230 0.747 5.934
Pb 0.000 0.000 3.492

---

18
Lattice="-1.231 5.905 0.626 -5.648 -1.798 5.849 5.951 -2.404 5.008" Properties=species:S:1:pos:R:3 comment="Hf3Sc2Al4, relaxed, DFT PBE" formation_enthalpy_0k_ev_per_atom=-0.065 n_ef_per_ev_atom=0.92 e_tot_ev_per_atom=-6.453 pbc="T T T"
Al 0.860 -0.455 5.984
Hf 0.453 1.250 3.786
Al -1.495 1.050 1.842
Sc 1.093 2.616 6.840
Sc -2.021 -0.914 4.643
Al 1.183 -2.300 9.327
Hf -0.765 -2.500 7.384
Hf -3.440 2.053 3.238
Sc -4.557 1.427 6.945
Al -2.111 4.002 2.156
Hf 0.000 0.000 0.000
Sc 3.630 0.276 4.538
Hf -0.163 4.202 4.099
Hf -1.381 0.453 7.697
Al -3.392 -1.501 7.484
Al 0.568 0.653 9.641
Al -1.788 2.158 5.499
Al 2.464 3.204 3.999

---

20
Lattice="-3.196 -6.768 -3.553 7.355 -1.845 3.338 -5.126 2.689 5.928" Properties=species:S:1:pos:R:3 comment="Ho3Cu3Sb4, relaxed, DFT PBE" formation_energy_uncorrected_ev_per_atom=-0.712 n_ef_per_ev_atom=0.03 e_tot_ev_per_atom=-4.963 pbc="T T T"
Ho -4.365 0.431 4.715
Cu 1.876 -1.837 3.421
Ho 4.755 -1.788 3.958
Cu 0.632 0.124 7.246
Cu -5.722 -4.136 1.754
Sb -0.811 -4.968 4.790
Sb -4.988 -1.605 2.143
Cu -0.521 -4.249 0.513
Sb 1.564 -5.398 -0.681
Cu -2.563 -1.318 3.207
Ho -2.843 -4.087 2.291
Ho 1.597 -4.605 2.505
Cu 3.398 -6.354 0.996
Sb -0.327 -2.006 1.934
Sb -1.376 1.047 3.502
Sb -2.425 -2.950 -0.820
Ho -1.598 -6.047 -1.534
Ho -0.446 -1.674 5.199
Sb 2.301 0.125 5.171
Sb 3.162 -2.014 1.096

---

4
Lattice="3.473 0.000 0.000 0.000 5.037 0.000 0.000 0.000 4.488" Properties=species:S:1:pos:R:3 comment="Ta2AsPb, relaxed, DFT PBE" relative_energy_mev_per_atom=477 formation_enthalpy_0k_ev_per_atom=0.447 n_ef_per_ev_atom=0.77 e_tot_ev_per_atom=-7.569 pbc="T T T"
Pb 0.000 2.519 2.244
As 1.737 0.000 2.244
Ta 1.737 2.519 0.000
Ta 0.000 0.000 0.000

---

4
Lattice="3.588 0.000 0.000 1.794 3.107 0.000 1.794 1.036 11.336" Properties=species:S:1:pos:R:3 comment="PrIn2Sb, relaxed, DFT PBE" relative_energy_mev_per_atom=639 formation_energy_uncorrected_ev_per_atom=0.126 n_ef_per_ev_atom=0.86 e_tot_ev_per_atom=-3.469 pbc="T T T"
In 5.382 3.107 3.238
In 1.794 1.036 8.098
Pr 0.000 0.000 0.000
Sb 3.588 2.071 5.668

---

8
Lattice="3.956 0.000 0.000 0.000 3.956 0.000 1.978 1.978 10.491" Properties=species:S:1:pos:R:3 comment="NaYV2, relaxed, DFT PBE" relative_energy_mev_per_atom=97 formation_enthalpy_0k_ev_per_atom=1.115 n_ef_per_ev_atom=1.08 e_tot_ev_per_atom=-5.390 pbc="T T T"
Y 0.000 0.000 0.000
V 4.945 4.994 7.868
Na 1.978 3.956 5.245
V 0.941 2.967 2.623
Na 1.978 1.978 0.000
V 3.016 0.989 2.623
Y 3.956 1.978 5.245
V 2.967 2.919 7.868